# 1
# BeCuNi3 (PBE-GGA, relaxed)
# * energy relative to the elements: 6.28 eV/f.u.
# * N(E_F): 4.29 states/eV per cell
# * distance to the lowest polymorph of the same formula: 888 meV/atom
data_BeCuNi3
_space_group_name_H-M_alt 'P m -3 m'
_space_group_IT_number 221
_space_group_name_Hall '-P 4 2 3'
_cell_length_a 4.2291
_cell_length_b 4.2291
_cell_length_c 4.2291
_cell_angle_alpha 90.00
_cell_angle_beta 90.00
_cell_angle_gamma 90.00
loop_
_atom_site_label
_atom_site_type_symbol
_atom_site_fract_x
_atom_site_fract_y
_atom_site_fract_z
_atom_site_occupancy
Be1 Be 0.0000 0.0000 0.0000 1
Cu1 Cu 0.5000 0.5000 0.5000 1
Ni1 Ni 0.0000 0.5000 0.5000 1

# 2
# Ac4CoNiBr2 (PBE-GGA, relaxed)
# * N(E_F): 3.66 states/eV per cell
# * E_form (uncorrected): -0.810 eV per atom
data_Ac4CoNiBr2
_space_group_name_H-M_alt 'P 1 2/m 1'
_space_group_IT_number 10
_space_group_name_Hall '-P 2y'
_cell_length_a 7.4401
_cell_length_b 4.2533
_cell_length_c 8.6208
_cell_angle_alpha 90.00
_cell_angle_beta 106.94
_cell_angle_gamma 90.00
loop_
_atom_site_label
_atom_site_type_symbol
_atom_site_fract_x
_atom_site_fract_y
_atom_site_fract_z
_atom_site_occupancy
Ac1 Ac 0.2239 0.0000 0.1910 1
Ac2 Ac 0.2657 0.5000 0.8090 1
Co1 Co 0.0000 0.5000 0.0000 1
Ni1 Ni 0.5000 0.0000 0.0000 1
Br1 Br 0.0000 0.0000 0.5000 1
Br2 Br 0.5000 0.5000 0.5000 1

# 3
# Dy3HoAl8 (PBE-GGA, relaxed)
# * energy relative to the elements: -6.10 eV/f.u.
# * N(E_F): 5.70 states/eV per cell
# * distance to the lowest polymorph of the same formula: 9 meV/atom
data_Dy3HoAl8
_space_group_name_H-M_alt 'P 3 m 1'
_space_group_IT_number 156
_space_group_name_Hall 'P 3 -2"'
_cell_length_a 5.5466
_cell_length_b 5.5466
_cell_length_c 9.1080
_cell_angle_alpha 90.00
_cell_angle_beta 90.00
_cell_angle_gamma 120.00
loop_
_atom_site_label
_atom_site_type_symbol
_atom_site_fract_x
_atom_site_fract_y
_atom_site_fract_z
_atom_site_occupancy
Dy1 Dy 0.0000 0.0000 0.0000 1
Dy2 Dy 0.0000 0.0000 0.3644 1
Dy3 Dy 0.3333 0.6667 0.8642 1
Ho1 Ho 0.3333 0.6667 0.4998 1
Al1 Al 0.0091 0.5046 0.1823 1
Al2 Al 0.3242 0.1621 0.6817 1
Al3 Al 0.6667 0.3333 0.4322 1
Al4 Al 0.6667 0.3333 0.9319 1

# 4
# La2PrFe (PBE-GGA, relaxed)
# * energy relative to the elements: 0.35 eV/f.u.
# * N(E_F): 10.03 states/eV per cell
# * distance to the lowest polymorph of the same formula: 0 meV/atom
data_La2PrFe
_space_group_name_H-M_alt 'P 1 21/m 1'
_space_group_IT_number 11
_space_group_name_Hall '-P 2yb'
_cell_length_a 3.8271
_cell_length_b 10.0351
_cell_length_c 6.3470
_cell_angle_alpha 90.00
_cell_angle_beta 105.00
_cell_angle_gamma 90.00
loop_
_atom_site_label
_atom_site_type_symbol
_atom_site_fract_x
_atom_site_fract_y
_atom_site_fract_z
_atom_site_occupancy
La1 La 0.1252 0.0775 0.2759 1
Pr1 Pr 0.4570 0.2500 0.8090 1
Fe1 Fe 0.1904 0.7500 0.5643 1